Record 1
A plane-wave DFT calculation with PBE was carried out for crystalline Pm3GaAg at its relaxed geometry.

Computed properties:
N(E_F) (states/eV per cell): 19.68
Calculated total energy (eV/cell): -84.65
Symmetry: C2/c

```
Pm3GaAg
1.0
8.494 0.373 -1.626
4.484 7.223 -1.626
2.012 1.178 8.868
Pm Ga Ag
12 4 4
Direct
0.608 0.614 0.650
0.863 0.739 0.832
0.859 0.226 0.427
0.137 0.261 0.168
0.386 0.392 0.850
0.141 0.774 0.573
0.614 0.608 0.150
0.261 0.137 0.668
0.774 0.141 0.073
0.739 0.863 0.332
0.392 0.386 0.350
0.226 0.859 0.927
0.637 0.086 0.605
0.086 0.637 0.105
0.914 0.363 0.895
0.363 0.914 0.395
0.855 0.145 0.750
0.500 0.000 0.000
0.145 0.855 0.250
0.000 0.500 0.500
```

***

Record 2
A plane-wave DFT calculation with PBE was carried out for crystalline PmGa2Ag2 at its relaxed geometry.

Computed properties:
N(E_F) (states/eV per cell): 2.80
Calculated total energy (eV/cell): -18.44
Symmetry: Fmmm

```
PmGa2Ag2
1.0
-0.142 1.761 4.007
3.026 -2.853 1.371
2.432 3.994 -4.068
Ga Pm Ag
2 1 2
Direct
0.387 0.387 0.774
0.613 0.613 0.226
0.000 0.000 0.000
0.250 0.750 0.500
0.750 0.250 0.500
```

***

The lowest N(E_F) belongs to which entry?
PmGa2Ag2

***

What did the second record say?
A plane-wave DFT calculation with PBE was carried out for crystalline PmGa2Ag2 at its relaxed geometry.

Computed properties:
N(E_F) (states/eV per cell): 2.80
Calculated total energy (eV/cell): -18.44
Symmetry: Fmmm

```
PmGa2Ag2
1.0
-0.142 1.761 4.007
3.026 -2.853 1.371
2.432 3.994 -4.068
Ga Pm Ag
2 1 2
Direct
0.387 0.387 0.774
0.613 0.613 0.226
0.000 0.000 0.000
0.250 0.750 0.500
0.750 0.250 0.500
```

***

Which of these has the lowest calculated total energy?
Pm3GaAg

***

Look up the calculated total energy of the second one.
-18.44 eV/cell